A relaxed structure of Ho3Sc4Pb4. Source: Alexandria, functional PBE.

Geometry as POSCAR:
```
Ho3Sc4Pb4
1.0
-2.1074 4.5051 7.9499
2.1074 -4.5051 7.9499
2.1074 4.5051 -7.9499
Ho Sc Pb
3 4 4
Direct
0.0000 0.0000 0.0000
0.3855 0.8855 0.5000
0.6145 0.1145 0.5000
0.0249 0.3251 0.6998
0.3747 0.6749 0.6998
0.6253 0.3251 0.3002
0.9751 0.6749 0.3002
0.2348 0.2348 0.0000
0.2897 0.5000 0.7897
0.7103 0.5000 0.2103
0.7652 0.7652 0.0000
```

Computed properties:
calculated density: 8.3 Mg/m³
energy of formation from the pure elements: -349.3 meV/atom